# BNF8, relaxed, DFT PBEsol
# ΔE_f (raw) = -1.48 eV per atom
# Calculated total energy = -183.234 eV for the cell shown
data_BNF8
_chemical_formula_sum 'B4 N4 F32'
_space_group_name_H-M_alt 'P b c m'
_space_group_IT_number 57
_space_group_name_Hall '-P 2c 2b'
_cell_length_a 5.137
_cell_length_b 9.845
_cell_length_c 9.644
_cell_angle_alpha 90.00
_cell_angle_beta 90.00
_cell_angle_gamma 90.00
loop_
_atom_site_label
_atom_site_type_symbol
_atom_site_fract_x
_atom_site_fract_y
_atom_site_fract_z
_atom_site_occupancy
B1 B 0.100 0.011 0.250 1
N1 N 0.474 0.250 0.000 1
F1 F 0.176 0.509 0.250 1
F2 F 0.185 0.147 0.250 1
F3 F 0.192 0.556 0.630 1
F4 F 0.325 0.159 0.564 1
F5 F 0.376 0.687 0.092 1

=====

# NbBNF2, relaxed, DFT PBEsol
# ΔE_f (raw) = -0.35 eV per atom
# Calculated total energy = -31.947 eV for the cell shown
data_NbBNF2
_chemical_formula_sum 'Nb1 B1 N1 F2'
_space_group_name_H-M_alt 'P 4/m m m'
_space_group_IT_number 123
_space_group_name_Hall '-P 4 2'
_cell_length_a 4.094
_cell_length_b 4.094
_cell_length_c 4.006
_cell_angle_alpha 90.00
_cell_angle_beta 90.00
_cell_angle_gamma 90.00
loop_
_atom_site_label
_atom_site_type_symbol
_atom_site_fract_x
_atom_site_fract_y
_atom_site_fract_z
_atom_site_occupancy
Nb1 Nb 0.000 0.000 0.000 1
B1 B 0.500 0.500 0.500 1
N1 N 0.000 0.000 0.500 1
F1 F 0.000 0.500 0.000 1